Density functional theory data (PBE) for Ni2Rh after structural relaxation.

As for the formation energy: 0.081 eV per atom. The calculation puts the magnetic moment at 2.48 μB/f.u.

Unit cell a=6.6386 b=6.6386 c=6.6386 alpha=90.00 beta=90.00 gamma=90.00
Closest atoms and distances in Å follow each position.
Space group Fd-3m (No. 227, origin choice 2)
Symmetry-distinct sites (fractional):
Ni (0.0000, 0.0000, 0.0000)  6 Ni 2.35
Rh (0.1250, 0.1250, 0.6250)  12 Ni 2.75, 4 Rh 2.87